1.
First-principles (PBE-GGA) data for a geometry-optimized Ca3CrI structure, as listed in Alexandria.

Output
* space group: Pm-3m, No. 221

Cell: 5.496 5.496 5.496 Å, 90.00 90.00 90.00°
Element x y z (fractional)
Ca: 0.000 0.000 0.500
Ca: 0.000 0.500 0.000
Ca: 0.500 0.000 0.000
Cr: 0.000 0.000 0.000
I: 0.500 0.500 0.500

---

2.
First-principles (PBE-GGA) data for a geometry-optimized Ca2CrI structure, as listed in Alexandria.

Output
* space group: I-42d, No. 122

Cell: 7.175 7.175 7.175 Å, 107.11 107.11 114.30°
Element x y z (fractional)
Ca: 0.120 0.625 0.995
Ca: 0.375 0.370 0.495
Ca: 0.630 0.125 0.005
Ca: 0.875 0.880 0.505
Cr: 0.000 0.000 0.000
Cr: 0.750 0.250 0.500
I: 0.250 0.750 0.500
I: 0.500 0.500 0.000

---

no.,formation energy from raw total energies (eV/atom),distance to the lowest polymorph of the same formula (kJ/mol of formula units)
1,0.502,0
2,0.122,0